# GaMoAs2Pt

A relaxed structure of GaMoAs2Pt (PBE, Alexandria).

abc: 4.8207 4.6312 4.8207
angles: 90.00 90.00 90.00
Closest atoms and distances in Å follow each position.
Positions (direct):
1 Mo 0.5000 0.5000 0.5000  8 As 3.34, 4 Pt 3.41
2 As 0.5000 0.0000 0.0000  2 Ga 2.41
3 As 0.0000 0.0000 0.5000  2 Ga 2.41
4 Ga 0.0000 0.0000 0.0000  2 Pt 2.32, 4 As 2.41
5 Pt 0.0000 0.5000 0.0000  2 Ga 2.32

symmetry = P4/mmm (123)
formation enthalpy at 0 K = 1.047 eV/atom

=====

# RbGa2MoAs

A relaxed structure of RbGa2MoAs (PBE, Alexandria).

abc: 5.6348 5.7616 5.6348
angles: 90.00 90.00 90.00
Closest atoms and distances in Å follow each position.
Positions (direct):
1 Mo 0.0000 0.5000 0.0000  2 Rb 2.88
2 Rb 0.0000 0.0000 0.0000  4 Ga 2.82, 2 Mo 2.88
3 As 0.5000 0.5000 0.5000  4 Mo 3.98, 8 Ga 4.03
4 Ga 0.0000 0.0000 0.5000  2 Rb 2.82
5 Ga 0.5000 0.0000 0.0000  2 Rb 2.82

symmetry = P4/mmm (123)
formation enthalpy at 0 K = 2.127 eV/atom

=====

# Ga2MoAsRh

A relaxed structure of Ga2MoAsRh (PBE, Alexandria).

abc: 4.8492 4.7258 4.8492
angles: 90.00 90.00 90.00
Closest atoms and distances in Å follow each position.
Positions (direct):
1 As 0.5000 0.5000 0.5000  8 Ga 3.39, 4 Rh 3.43
2 Ga 0.5000 0.0000 0.0000  2 Mo 2.42
3 Ga 0.0000 0.0000 0.5000  2 Mo 2.42
4 Mo 0.0000 0.0000 0.0000  2 Rh 2.36, 4 Ga 2.42
5 Rh 0.0000 0.5000 0.0000  2 Mo 2.36

symmetry = P4/mmm (123)
formation enthalpy at 0 K = 0.861 eV/atom

=====

# GaSbMo2As

A relaxed structure of GaSbMo2As (PBE, Alexandria).

abc: 4.8579 4.5421 4.8579
angles: 90.00 90.00 90.00
Closest atoms and distances in Å follow each position.
Positions (direct):
1 Sb 0.5000 0.5000 0.5000  8 Mo 3.33, 4 As 3.44
2 Mo 0.5000 0.0000 0.0000  2 Ga 2.43
3 Mo 0.0000 0.0000 0.5000  2 Ga 2.43
4 Ga 0.0000 0.0000 0.0000  2 As 2.27, 4 Mo 2.43
5 As 0.0000 0.5000 0.0000  2 Ga 2.27

symmetry = P4/mmm (123)
energy relative to the elements, uncorrected = 1.2568 eV per atom

=====

# GaMoAsSe2

A relaxed structure of GaMoAsSe2 (PBE, Alexandria).

abc: 4.9356 4.9356 4.8037
angles: 90.00 90.00 90.00
Closest atoms and distances in Å follow each position.
Positions (direct):
1 Ga 0.0000 0.0000 0.0000  2 As 2.40, 4 Se 2.47
2 Se 0.0000 0.5000 0.0000  2 Ga 2.47
3 Se 0.5000 0.0000 0.0000  2 Ga 2.47
4 As 0.0000 0.0000 0.5000  2 Ga 2.40
5 Mo 0.5000 0.5000 0.5000  8 Se 3.44, 4 As 3.49

symmetry = P4/mmm (123)
energy relative to the elements, uncorrected = 0.9147 eV per atom
energy above the most stable polymorph in this dataset = 719 meV per atom

=====

# GaMoAsSe2

A relaxed structure of GaMoAsSe2 (PBE, Alexandria).

abc: 5.0102 5.0102 4.8947
angles: 90.00 90.00 90.00
Closest atoms and distances in Å follow each position.
Positions (direct):
1 Se 0.5000 0.0000 0.0000  2 Mo 2.51
2 Se 0.0000 0.5000 0.0000  2 Mo 2.51
3 Ga 0.5000 0.5000 0.5000  8 Se 3.50, 4 As 3.54
4 Mo 0.0000 0.0000 0.0000  2 As 2.45, 4 Se 2.51
5 As 0.0000 0.0000 0.5000  2 Mo 2.45

symmetry = P4/mmm (123)
energy relative to the elements, uncorrected = 0.1958 eV per atom
energy above the most stable polymorph in this dataset = 0 meV per atom

=====

# SrGaMo2As

A relaxed structure of SrGaMo2As (PBE, Alexandria).

abc: 4.9757 5.2563 4.9757
angles: 90.00 90.00 90.00
Closest atoms and distances in Å follow each position.
Positions (direct):
1 Mo 0.5000 0.0000 0.0000  2 Sr 2.49
2 Mo 0.0000 0.0000 0.5000  2 Sr 2.49
3 As 0.5000 0.5000 0.5000  4 Ga 3.52, 8 Mo 3.62
4 Sr 0.0000 0.0000 0.0000  4 Mo 2.49, 2 Ga 2.63
5 Ga 0.0000 0.5000 0.0000  2 Sr 2.63

symmetry = P4/mmm (123)
formation enthalpy at 0 K = 2.547 eV/atom

=====

# Ga2AsN

A relaxed structure of Ga2AsN (PBE, Alexandria).

abc: 4.4237 4.4237 4.4237
angles: 60.00 60.00 60.00
Closest atoms and distances in Å follow each position.
Positions (direct):
1 Ga 0.2500 0.2500 0.2500  4 As 2.71, 4 N 2.71
2 Ga 0.7500 0.7500 0.7500  4 As 2.71, 4 N 2.71
3 As 0.5000 0.5000 0.5000  8 Ga 2.71
4 N 0.0000 0.0000 0.0000  8 Ga 2.71

symmetry = Fm-3m (225)
energy relative to the elements, uncorrected = 0.9158 eV per atom
energy above the most stable polymorph in this dataset = 1149 meV per atom

=====

# GaAs3N

A relaxed structure of GaAs3N (PBE, Alexandria).

abc: 4.4033 4.4033 4.4033
angles: 90.00 90.00 90.00
Closest atoms and distances in Å follow each position.
Positions (direct):
1 As 0.0000 0.0000 0.5000  2 N 2.20
2 As 0.0000 0.5000 0.0000  2 N 2.20
3 As 0.5000 0.0000 0.0000  2 N 2.20
4 Ga 0.5000 0.5000 0.5000  12 As 3.11
5 N 0.0000 0.0000 0.0000  6 As 2.20

symmetry = Pm-3m (221)
energy relative to the elements, uncorrected = 0.7112 eV per atom
energy above the most stable polymorph in this dataset = 0 meV per atom

=====

# GaAsN2

A relaxed structure of GaAsN2 (PBE, Alexandria).

abc: 6.5367 6.5367 6.5367
angles: 25.77 25.77 25.77
Closest atoms and distances in Å follow each position.
Positions (direct):
1 As 0.5000 0.5000 0.5000  6 N 1.98
2 Ga 0.0000 0.0000 0.0000  2 N 2.12
3 N 0.8880 0.8880 0.8880  3 As 1.98, 1 Ga 2.12
4 N 0.1120 0.1120 0.1120  3 As 1.98, 1 Ga 2.12

symmetry = R-3m (166)
energy relative to the elements, uncorrected = 0.4714 eV per atom
energy above the most stable polymorph in this dataset = 43 meV per atom

=====

# GaAs2N

A relaxed structure of GaAs2N (PBE, Alexandria).

abc: 4.4290 4.4290 4.4290
angles: 60.00 60.00 60.00
Closest atoms and distances in Å follow each position.
Positions (direct):
1 As 0.2500 0.2500 0.2500  4 N 2.71, 4 Ga 2.71
2 As 0.7500 0.7500 0.7500  4 Ga 2.71, 4 N 2.71
3 Ga 0.5000 0.5000 0.5000  8 As 2.71
4 N 0.0000 0.0000 0.0000  8 As 2.71

symmetry = Fm-3m (225)
energy relative to the elements, uncorrected = 1.1533 eV per atom
energy above the most stable polymorph in this dataset = 636 meV per atom

=====

# Ga2AsN

A relaxed structure of Ga2AsN (PBE, Alexandria).

abc: 5.1709 5.1709 6.2123
angles: 65.41 65.41 90.00
Closest atoms and distances in Å follow each position.
Positions (direct):
1 N 0.5000 0.5000 0.0000  4 Ga 2.03
2 N 0.2500 0.7500 0.5000  4 Ga 2.03
3 Ga 0.1961 0.6250 0.2500  2 N 2.03
4 Ga 0.8750 0.8039 0.7500  2 N 2.03
5 Ga 0.5539 0.1250 0.2500  2 N 2.03
6 Ga 0.3750 0.4461 0.7500  2 N 2.03
7 As 0.0000 0.0000 0.0000  4 Ga 2.45
8 As 0.7500 0.2500 0.5000  4 Ga 2.45

symmetry = I-42d (122)
energy relative to the elements, uncorrected = -0.2332 eV per atom
energy above the most stable polymorph in this dataset = 0 meV per atom

=====

# GaAsN2

A relaxed structure of GaAsN2 (PBE, Alexandria).

abc: 6.0186 6.0186 6.0186
angles: 30.13 30.13 30.13
Closest atoms and distances in Å follow each position.
Positions (direct):
1 N 0.1067 0.1067 0.1067  1 As 1.84
2 N 0.8933 0.8933 0.8933  1 As 1.84
3 Ga 0.5000 0.5000 0.5000  6 N 2.08
4 As 0.0000 0.0000 0.0000  2 N 1.84

symmetry = R-3m (166)
energy relative to the elements, uncorrected = 0.4860 eV per atom
energy above the most stable polymorph in this dataset = 58 meV per atom

=====

# Ga2As2N

A relaxed structure of Ga2As2N (PBE, Alexandria).

abc: 6.0615 6.0615 4.8494
angles: 90.00 90.00 90.00
Closest atoms and distances in Å follow each position.
Positions (direct):
1 Ga 0.8446 0.3446 0.5000  2 As 2.66, 1 Ga 2.66
2 Ga 0.3446 0.1554 0.5000  2 As 2.66, 1 Ga 2.66
3 Ga 0.1554 0.6554 0.5000  2 As 2.66, 1 Ga 2.66
4 Ga 0.6554 0.8446 0.5000  2 As 2.66, 1 Ga 2.66
5 As 0.2835 0.7835 0.0000  2 N 2.16
6 As 0.7165 0.2165 0.0000  2 N 2.16
7 As 0.2165 0.2835 0.0000  2 N 2.16
8 As 0.7835 0.7165 0.0000  2 N 2.16
9 N 0.0000 0.0000 0.0000  4 As 2.16
10 N 0.5000 0.5000 0.0000  4 As 2.16

symmetry = P4/mbm (127)
energy relative to the elements, uncorrected = 0.6463 eV per atom
energy above the most stable polymorph in this dataset = 161 meV per atom